(1)
DFT (PBE) results for a relaxed BaMgTl6 crystal.

DFT total energy = -0.0863 hartree per atom
DFT formation energy = -1.1 eV/f.u.

Structure (POSCAR):
```
BaMgTl6
1.0
5.2659 0.0000 1.6119
2.3862 4.6942 1.6119
-0.1737 -0.1066 9.9749
Ba Mg Tl
1 1 6
direct
0.5000 0.5000 0.5000
0.0000 0.0000 0.0000
0.6326 0.6326 0.1022
0.1064 0.1064 0.6807
0.8936 0.8936 0.3193
0.3674 0.3674 0.8978
0.2483 0.2483 0.2552
0.7517 0.7517 0.7448
```

---

(2)
DFT (PBE) results for a relaxed AcHf2GeO8 crystal.

DFT total energy = -0.3082 hartree per atom
E_form (uncorrected) = -2695 meV/atom

Structure (POSCAR):
```
AcHf2GeO8
1.0
4.8721 0.0842 -0.0036
0.1393 4.8709 -0.0058
0.0040 0.0070 6.8351
Ac Hf Ge O
1 2 1 8
direct
0.0000 0.0000 0.5000
0.5000 0.5000 0.7729
0.5000 0.5000 0.2271
0.0000 0.0000 0.0000
0.1969 0.8030 0.1970
0.7020 0.7022 0.0000
0.8033 0.1971 0.1970
0.8031 0.1970 0.8030
0.2980 0.2978 0.0000
0.1967 0.8029 0.8030
0.6614 0.6616 0.5000
0.3386 0.3384 0.5000
```